Entry 1:
A relaxed structure of LiNdHgSb. Source: Alexandria via LeMat-Bulk, functional PBE.

```
LiNdHgSb
1.0
-1.025 -1.255 4.991
-1.608 -4.846 1.210
3.195 -3.253 2.597
Sb Nd Hg Li
1 1 1 1
Direct
0.250 0.250 0.250
0.500 0.500 0.500
0.750 0.750 0.750
0.000 0.000 0.000
```

Output
- Formation energy from raw total energies: -578 meV/atom
- Raw total energy: -3.35 eV/atom
- Crystal system: cubic
- Fermi-level density of states: 2.81 states/eV per cell
- Total moment: 0.0 μB per formula unit

Entry 2:
A relaxed structure of LiNdSc2Hg4. Source: Alexandria via LeMat-Bulk, functional PBE.

```
LiNdSc2Hg4
1.0
-3.074 1.462 -3.577
-1.906 -3.315 -3.125
-8.445 -1.770 3.125
Hg Sc Li Nd
4 2 1 1
Direct
0.871 0.871 0.386
0.129 0.129 0.614
0.389 0.389 0.832
0.611 0.611 0.168
0.242 0.242 0.275
0.758 0.758 0.725
0.500 0.500 0.500
0.000 0.000 0.000
```

Output
- Raw total energy: -2.97 eV/atom
- Crystal system: trigonal
- Fermi-level density of states: 6.82 states/eV per cell
- Total moment: 0.0 μB per formula unit
- Formation enthalpy at 0 K: -3.2 eV/f.u.

Entry 3:
A relaxed structure of LiNdScHg. Source: Alexandria via LeMat-Bulk, functional PBE.

```
LiNdScHg
1.0
5.176 0.000 0.000
2.588 4.482 0.000
2.588 1.494 4.226
Hg Nd Li Sc
1 1 1 1
Direct
0.500 0.500 0.500
0.750 0.750 0.750
0.000 0.000 0.000
0.250 0.250 0.250
```

Output
- Raw total energy: -3.51 eV/atom
- Crystal system: cubic
- Fermi-level density of states: 5.27 states/eV per cell
- Total moment: 0.5 μB per formula unit
- Formation enthalpy at 0 K: -0.7 eV/f.u.

- Which value of Fermi-level density of states does entry 1 give?
  2.81 states/eV per cell